Cd2AsSe GGA-PBE relaxed; energy relative to the elements, uncorrected = 0.0942 eV/atom; electronic total energy = -9.6 eV per cell; V = 90.15 Å³/cell; magnetization = 0.0 μB/f.u.
1.0
4.937 -0.041 0.000
-1.564 4.683 0.000
0.000 0.000 3.910
As Se Cd
1 1 2
Cartesian
-0.782 2.341 1.955
2.469 -0.020 1.955
0.000 0.000 0.000
1.686 2.321 0.000